[1]
# CsHg3I3

CsHg3I3 after structural relaxation (PBE-GGA, Alexandria).

Lattice parameters (Å, degrees): 9.2451 9.2451 9.2451 90.00 90.00 90.00
With the nearest neighbours (Å) after each atom.
Fractional positions:
1 Cs 0.5000 0.5000 0.5000  12 Hg 5.17, 12 I 5.17
2 Cs 0.0000 0.0000 0.0000  12 I 5.17, 12 Hg 5.17
3 I 0.0000 0.2500 0.5000  4 Hg 3.27
4 I 0.0000 0.7500 0.5000  4 Hg 3.27
5 I 0.5000 0.0000 0.7500  4 Hg 3.27
6 I 0.7500 0.5000 0.0000  4 Hg 3.27
7 I 0.5000 0.0000 0.2500  4 Hg 3.27
8 I 0.2500 0.5000 0.0000  4 Hg 3.27
9 Hg 0.2500 0.0000 0.5000  4 I 3.27
10 Hg 0.0000 0.5000 0.2500  4 I 3.27
11 Hg 0.5000 0.7500 0.0000  4 I 3.27
12 Hg 0.7500 0.0000 0.5000  4 I 3.27
13 Hg 0.0000 0.5000 0.7500  4 I 3.27
14 Hg 0.5000 0.2500 0.0000  4 I 3.27

=====

[2]
# Cs12Hg5I3

Cs12Hg5I3 after structural relaxation (PBE-GGA, Alexandria).

Lattice parameters (Å, degrees): 19.6491 19.6491 19.6491 109.47 109.47 109.47
With the nearest neighbours (Å) after each atom.
Fractional positions:
1 I 0.7500 0.3750 0.1250  4 Cs 3.99
2 I 0.8750 0.7500 0.1250  4 Cs 3.99
3 I 0.3750 0.7500 0.6250  4 Cs 3.99
4 I 0.2500 0.1250 0.3750  4 Cs 3.99
5 I 0.8750 0.1250 0.2500  4 Cs 3.99
6 I 0.3750 0.6250 0.2500  4 Cs 3.99
7 I 0.6250 0.3750 0.7500  4 Cs 3.99
8 I 0.1250 0.8750 0.7500  4 Cs 3.99
9 I 0.7500 0.8750 0.6250  4 Cs 3.99
10 I 0.6250 0.2500 0.3750  4 Cs 3.99
11 I 0.1250 0.2500 0.8750  4 Cs 3.99
12 I 0.2500 0.6250 0.8750  4 Cs 3.99
13 Hg 0.1250 0.3750 0.2500  4 Cs 3.67
14 Hg 0.0000 0.5000 0.0000  6 Cs 3.84
15 Hg 0.0000 0.0000 0.0000  6 Cs 3.84
16 Hg 0.3750 0.2500 0.1250  4 Cs 3.67
17 Hg 0.5000 0.0000 0.5000  6 Cs 3.84
18 Hg 0.5000 0.5000 0.0000  6 Cs 3.84
19 Hg 0.1250 0.7500 0.3750  4 Cs 3.67
20 Hg 0.7500 0.1250 0.8750  4 Cs 3.67
21 Hg 0.7500 0.6250 0.3750  4 Cs 3.67
22 Hg 0.3750 0.1250 0.7500  4 Cs 3.67
23 Hg 0.6250 0.8750 0.2500  4 Cs 3.67
24 Hg 0.5000 0.5000 0.5000  6 Cs 3.84
25 Hg 0.5000 0.0000 0.0000  6 Cs 3.84
26 Hg 0.0000 0.0000 0.5000  6 Cs 3.84
27 Hg 0.2500 0.3750 0.6250  4 Cs 3.67
28 Hg 0.2500 0.8750 0.1250  4 Cs 3.67
29 Hg 0.0000 0.5000 0.5000  6 Cs 3.84
30 Hg 0.8750 0.2500 0.6250  4 Cs 3.67
31 Hg 0.6250 0.7500 0.8750  4 Cs 3.67
32 Hg 0.8750 0.6250 0.7500  4 Cs 3.67
33 Cs 0.7254 0.1204 0.0506  2 Hg 3.67-3.84, 1 I 3.99
34 Cs 0.3252 0.5506 0.4302  2 Hg 3.67-3.84, 1 I 3.99
35 Cs 0.9494 0.3796 0.2746  2 Hg 3.67-3.84, 1 I 3.99
36 Cs 0.5506 0.2254 0.1204  2 Hg 3.67-3.84, 1 I 3.99
37 Cs 0.6050 0.7254 0.6748  2 Hg 3.67-3.84, 1 I 3.99
38 Cs 0.9494 0.5698 0.1748  2 Hg 3.67-3.84, 1 I 3.99
39 Cs 0.3252 0.7746 0.3950  2 Hg 3.67-3.84, 1 I 3.99
40 Cs 0.0698 0.8950 0.1204  2 Hg 3.67-3.84, 1 I 3.99
41 Cs 0.5698 0.9494 0.6748  2 Hg 3.67-3.84, 1 I 3.99
42 Cs 0.7254 0.6050 0.1748  2 Hg 3.67-3.84, 1 I 3.99
43 Cs 0.7746 0.4494 0.3796  2 Hg 3.67-3.84, 1 I 3.99
44 Cs 0.8252 0.9302 0.0506  2 Hg 3.67-3.84, 1 I 3.99
45 Cs 0.1204 0.7254 0.5506  2 Hg 3.67-3.84, 1 I 3.99
46 Cs 0.3796 0.4302 0.1050  2 Hg 3.67-3.84, 1 I 3.99
47 Cs 0.1050 0.9302 0.3796  2 Hg 3.67-3.84, 1 I 3.99
48 Cs 0.3950 0.1204 0.5698  2 Hg 3.67-3.84, 1 I 3.99
49 Cs 0.1050 0.1748 0.2254  2 Hg 3.67-3.84, 1 I 3.99
50 Cs 0.4494 0.6748 0.0698  2 Hg 3.67-3.84, 1 I 3.99
51 Cs 0.8252 0.8950 0.2746  2 Hg 3.67-3.84, 1 I 3.99
52 Cs 0.1204 0.3950 0.0698  2 Hg 3.67-3.84, 1 I 3.99
53 Cs 0.3796 0.9494 0.7746  2 Hg 3.67-3.84, 1 I 3.99
54 Cs 0.5698 0.6204 0.3950  2 Hg 3.67-3.84, 1 I 3.99
55 Cs 0.9302 0.8252 0.5506  2 Hg 3.67-3.84, 1 I 3.99
56 Cs 0.7746 0.3252 0.8950  2 Hg 3.67-3.84, 1 I 3.99
57 Cs 0.4302 0.3796 0.6050  2 Hg 3.67-3.84, 1 I 3.99
58 Cs 0.0698 0.1748 0.4494  2 Hg 3.67-3.84, 1 I 3.99
59 Cs 0.2254 0.6748 0.1050  2 Hg 3.67-3.84, 1 I 3.99
60 Cs 0.1748 0.1050 0.7254  2 Hg 3.67-3.84, 1 I 3.99
61 Cs 0.6204 0.0506 0.2254  2 Hg 3.67-3.84, 1 I 3.99
62 Cs 0.8796 0.6050 0.9302  2 Hg 3.67-3.84, 1 I 3.99
63 Cs 0.5506 0.3252 0.9302  2 Hg 3.67-3.84, 1 I 3.99
64 Cs 0.6050 0.8796 0.4302  2 Hg 3.67-3.84, 1 I 3.99
65 Cs 0.8950 0.8252 0.7746  2 Hg 3.67-3.84, 1 I 3.99
66 Cs 0.8950 0.0698 0.6204  2 Hg 3.67-3.84, 1 I 3.99
67 Cs 0.8796 0.2746 0.4494  2 Hg 3.67-3.84, 1 I 3.99
68 Cs 0.1748 0.0698 0.9494  2 Hg 3.67-3.84, 1 I 3.99
69 Cs 0.6204 0.5698 0.8950  2 Hg 3.67-3.84, 1 I 3.99
70 Cs 0.4302 0.0506 0.3252  2 Hg 3.67-3.84, 1 I 3.99
71 Cs 0.2746 0.3950 0.8252  2 Hg 3.67-3.84, 1 I 3.99
72 Cs 0.2254 0.5506 0.6204  2 Hg 3.67-3.84, 1 I 3.99
73 Cs 0.9302 0.1050 0.8796  2 Hg 3.67-3.84, 1 I 3.99
74 Cs 0.6748 0.2254 0.6050  2 Hg 3.67-3.84, 1 I 3.99
75 Cs 0.4494 0.7746 0.8796  2 Hg 3.67-3.84, 1 I 3.99
76 Cs 0.0506 0.4302 0.8252  2 Hg 3.67-3.84, 1 I 3.99
77 Cs 0.3950 0.2746 0.3252  2 Hg 3.67-3.84, 1 I 3.99
78 Cs 0.0506 0.6204 0.7254  2 Hg 3.67-3.84, 1 I 3.99
79 Cs 0.6748 0.4494 0.5698  2 Hg 3.67-3.84, 1 I 3.99
80 Cs 0.2746 0.8796 0.9494  2 Hg 3.67-3.84, 1 I 3.99

=====

[3]
# CsHg2I5

CsHg2I5 after structural relaxation (PBE-GGA, Alexandria).

Lattice parameters (Å, degrees): 7.2845 10.9564 12.9793 90.00 90.00 109.42
With the nearest neighbours (Å) after each atom.
Fractional positions:
1 Cs 0.8854 0.7708 0.7500  6 I 4.09-4.20
2 Cs 0.1146 0.2292 0.2500  6 I 4.09-4.20
3 Hg 0.2076 0.4152 0.5745  3 I 2.70-2.91
4 Hg 0.7924 0.5848 0.4255  3 I 2.70-2.91
5 Hg 0.7924 0.5848 0.0745  3 I 2.70-2.91
6 Hg 0.2076 0.4152 0.9255  3 I 2.70-2.91
7 I 0.7049 0.4098 0.2500  2 Hg 2.91
8 I 0.2951 0.5902 0.7500  2 Hg 2.91
9 I 0.2898 0.5796 0.0940  1 Hg 2.77
10 I 0.7102 0.4204 0.9060  1 Hg 2.77
11 I 0.7102 0.4204 0.5940  1 Hg 2.77
12 I 0.2898 0.5796 0.4060  1 Hg 2.77
13 I 0.0770 0.1540 0.5683  1 Hg 2.70
14 I 0.9230 0.8460 0.4317  1 Hg 2.70
15 I 0.0770 0.1540 0.9317  1 Hg 2.70
16 I 0.9230 0.8460 0.0683  1 Hg 2.70

=====

Number 1: DFT total energy -16.543 eV for the cell shown, formation energy from raw total energies -266 meV per atom. Number 2: DFT total energy -100.045 eV for the cell shown, formation energy from raw total energies -430 meV per atom. Number 3: DFT total energy -27.705 eV for the cell shown, formation energy from raw total energies -581 meV per atom.